# RbBa3Pt

A crystal of RbBa3Pt relaxed with PBEsol (meta-GGA SCAN, Alexandria via LeMat-Bulk).

Summary:
Uncorrected energy = -211.5 eV/cell
SG = Pm-3m (221)
Energy relative to the elements = -393 meV per atom

Lattice parameters (Å, degrees): 6.3278 6.3278 6.3278 90.00 90.00 90.00
With the nearest neighbours (Å) after each atom.
Fractional coordinates of all 5 atoms:
Ba1 0.0000 0.5000 0.0000  2 Pt 3.16
Ba2 0.5000 0.0000 0.0000  2 Pt 3.16
Ba3 0.0000 0.0000 0.5000  2 Pt 3.16
Pt1 0.0000 0.0000 0.0000  6 Ba 3.16
Rb1 0.5000 0.5000 0.5000  12 Ba 4.47

# CsY3Br

A crystal of CsY3Br relaxed with PBEsol (meta-GGA SCAN, Alexandria via LeMat-Bulk).

Summary:
Uncorrected energy = -139.6 eV/cell
Formation energy from raw total energies = 0.235 eV/atom
SG = Pm-3m (221)

Lattice parameters (Å, degrees): 5.5514 5.5514 5.5514 90.00 90.00 90.00
With the nearest neighbours (Å) after each atom.
Fractional coordinates of all 5 atoms:
Br1 0.0000 0.0000 0.0000  6 Y 2.78
Y1 0.0000 0.0000 0.5000  2 Br 2.78
Y2 0.0000 0.5000 0.0000  2 Br 2.78
Y3 0.5000 0.0000 0.0000  2 Br 2.78
Cs1 0.5000 0.5000 0.5000  12 Y 3.93

# Cd2AgRh

A crystal of Cd2AgRh relaxed with PBEsol (meta-GGA SCAN, Alexandria via LeMat-Bulk).

Summary:
Distance to the lowest polymorph of the same formula = 0.126 eV per atom
Uncorrected energy = -126.0 eV/cell
SG = Pmm2 (25)
Energy relative to the elements = -1 meV per atom

Lattice parameters (Å, degrees): 2.9508 4.0331 5.7075 90.00 90.00 90.00
With the nearest neighbours (Å) after each atom.
Fractional coordinates of all 4 atoms:
Cd1 0.5000 0.5000 0.2738  2 Ag 2.71-3.00, 4 Rh 2.79, 6 Cd 2.95-2.99
Cd2 0.0000 0.0000 0.9862  2 Rh 2.82-2.88, 4 Ag 2.84, 6 Cd 2.95-2.99
Ag1 0.5000 0.5000 0.7484  6 Cd 2.71-3.00, 4 Rh 2.90, 2 Ag 2.95
Rh1 0.0000 0.0000 0.4916  6 Cd 2.79-2.88, 4 Ag 2.90, 2 Rh 2.95

# K2LiGdCl6

A crystal of K2LiGdCl6 relaxed with PBEsol (meta-GGA SCAN, Alexandria via LeMat-Bulk).

Summary:
Uncorrected energy = -148.5 eV/cell
Formation energy from raw total energies = -2.280 eV/atom
SG = Fm-3m (225)

Lattice parameters (Å, degrees): 7.2338 7.2338 7.2338 60.00 60.00 60.00
With the nearest neighbours (Å) after each atom.
Fractional coordinates of all 10 atoms:
K1 0.7500 0.7500 0.7500  12 Cl 3.62
K2 0.2500 0.2500 0.2500  12 Cl 3.62
Cl1 0.7560 0.2440 0.2440  1 Li 2.50, 1 Gd 2.62
Cl2 0.2440 0.7560 0.2440  1 Li 2.50, 1 Gd 2.62
Cl3 0.2440 0.7560 0.7560  1 Li 2.50, 1 Gd 2.62
Cl4 0.7560 0.2440 0.7560  1 Li 2.50, 1 Gd 2.62
Cl5 0.2440 0.2440 0.7560  1 Li 2.50, 1 Gd 2.62
Cl6 0.7560 0.7560 0.2440  1 Li 2.50, 1 Gd 2.62
Li1 0.0000 0.0000 0.0000  6 Cl 2.50
Gd1 0.5000 0.5000 0.5000  6 Cl 2.62

# Ca2Zn

A crystal of Ca2Zn relaxed with PBEsol (meta-GGA SCAN, Alexandria via LeMat-Bulk).

Summary:
Uncorrected energy = -66.6 eV/cell
SG = Cmc2_1 (36)
Energy relative to the elements = -146 meV per atom

Lattice parameters (Å, degrees): 3.8371 6.9923 7.0819 90.00 90.00 105.93
With the nearest neighbours (Å) after each atom.
Fractional coordinates of all 6 atoms:
Zn1 0.8845 0.7691 0.9810  7 Ca 3.05-3.12
Zn2 0.1155 0.2309 0.4810  7 Ca 3.05-3.12
Ca1 0.7860 0.5721 0.5822  3 Zn 3.08-3.12
Ca2 0.5227 0.0455 0.7664  4 Zn 3.05-3.07
Ca3 0.2140 0.4279 0.0822  3 Zn 3.08-3.12
Ca4 0.4773 0.9545 0.2664  4 Zn 3.05-3.07

# ReSbIF2

A crystal of ReSbIF2 relaxed with PBEsol (meta-GGA SCAN, Alexandria via LeMat-Bulk).

Summary:
Uncorrected energy = -154.4 eV/cell
Formation energy from raw total energies = -0.440 eV/atom
SG = P4/mmm (123)

Lattice parameters (Å, degrees): 4.1764 4.1764 5.4892 90.00 90.00 90.00
With the nearest neighbours (Å) after each atom.
Fractional coordinates of all 5 atoms:
F1 0.5000 0.0000 0.0000  2 Sb 2.09
F2 0.0000 0.5000 0.0000  2 Sb 2.09
Sb1 0.0000 0.0000 0.0000  4 F 2.09
I1 0.5000 0.5000 0.5000  4 Re 2.95
Re1 0.0000 0.0000 0.5000  2 Sb 2.74, 4 I 2.95

# MgCd2GeMo

A crystal of MgCd2GeMo relaxed with PBEsol (meta-GGA SCAN, Alexandria via LeMat-Bulk).

Summary:
Uncorrected energy = -114.8 eV/cell
SG = P4/mmm (123)
Energy relative to the elements = 990 meV per atom

Lattice parameters (Å, degrees): 4.8659 5.0669 5.0669 90.00 90.00 90.00
With the nearest neighbours (Å) after each atom.
Fractional coordinates of all 5 atoms:
Mo1 0.5000 0.5000 0.5000  8 Cd 3.51, 4 Mg 3.58
Ge1 0.0000 0.0000 0.0000  2 Mg 2.43, 4 Cd 2.53
Cd1 0.0000 0.0000 0.5000  2 Ge 2.53
Cd2 0.0000 0.5000 0.0000  2 Ge 2.53
Mg1 0.5000 0.0000 0.0000  2 Ge 2.43

# GaSiHg2Sb

A crystal of GaSiHg2Sb relaxed with PBEsol (meta-GGA SCAN, Alexandria via LeMat-Bulk).

Summary:
Uncorrected energy = -197.7 eV/cell
Formation energy from raw total energies = 0.455 eV/atom
SG = P4/mmm (123)

Lattice parameters (Å, degrees): 4.7633 5.0596 5.0596 90.00 90.00 90.00
With the nearest neighbours (Å) after each atom.
Fractional coordinates of all 5 atoms:
Si1 0.0000 0.0000 0.0000  2 Ga 2.38, 4 Hg 2.53
Ga1 0.5000 0.0000 0.0000  2 Si 2.38
Hg1 0.0000 0.0000 0.5000  2 Si 2.53
Hg2 0.0000 0.5000 0.0000  2 Si 2.53
Sb1 0.5000 0.5000 0.5000  8 Hg 3.47, 4 Ga 3.58

# Al2CrRh

A crystal of Al2CrRh relaxed with PBEsol (meta-GGA SCAN, Alexandria via LeMat-Bulk).

Summary:
Distance to the lowest polymorph of the same formula = 0.044 eV per atom
Uncorrected energy = -70.7 eV/cell
SG = P4/mmm (123)
Energy relative to the elements = -765 meV per atom

Lattice parameters (Å, degrees): 3.0317 4.1841 4.1841 90.00 90.00 90.00
With the nearest neighbours (Å) after each atom.
Fractional coordinates of all 4 atoms:
Cr1 0.5000 0.5000 0.5000  8 Al 2.58
Rh1 0.5000 0.0000 0.0000  8 Al 2.58
Al1 0.0000 0.5000 0.0000  4 Cr 2.58, 4 Rh 2.58
Al2 0.0000 0.0000 0.5000  4 Cr 2.58, 4 Rh 2.58

# Sr2MoS2

A crystal of Sr2MoS2 relaxed with PBEsol (meta-GGA SCAN, Alexandria via LeMat-Bulk).

Summary:
Uncorrected energy = -103.2 eV/cell
Formation energy from raw total energies = -0.900 eV/atom
SG = I4/mmm (139)

Lattice parameters (Å, degrees): 5.8571 6.1679 5.8571 61.65 90.00 118.35
With the nearest neighbours (Å) after each atom.
Fractional coordinates of all 5 atoms:
Sr1 0.2500 0.5000 0.2500  4 S 2.93
Sr2 0.7500 0.5000 0.7500  4 S 2.93
Mo1 0.0000 0.0000 0.0000  2 S 2.40
S1 0.7371 0.4743 0.2629  1 Mo 2.40
S2 0.2629 0.5257 0.7371  1 Mo 2.40

# RbBeF3

A crystal of RbBeF3 relaxed with PBEsol (meta-GGA SCAN, Alexandria via LeMat-Bulk).

Summary:
Uncorrected energy = -50.5 eV/cell
Formation energy from raw total energies = -2.949 eV/atom
SG = Pm-3m (221)

Lattice parameters (Å, degrees): 3.7911 3.7911 3.7911 90.00 90.00 90.00
With the nearest neighbours (Å) after each atom.
Fractional coordinates of all 5 atoms:
F1 0.5000 0.0000 0.5000  2 Be 1.90
F2 0.0000 0.5000 0.5000  2 Be 1.90
F3 0.5000 0.5000 0.0000  2 Be 1.90
Be1 0.5000 0.5000 0.5000  6 F 1.90
Rb1 0.0000 0.0000 0.0000  12 F 2.68

# MnInCo2

A crystal of MnInCo2 relaxed with PBEsol (meta-GGA SCAN, Alexandria via LeMat-Bulk).

Summary:
Uncorrected energy = -86.2 eV/cell
SG = P4/mmm (123)
Energy relative to the elements = 10 meV per atom

Lattice parameters (Å, degrees): 2.9224 2.9224 5.9485 90.00 90.00 90.00
With the nearest neighbours (Å) after each atom.
Fractional coordinates of all 4 atoms:
Co1 0.0000 0.0000 0.2842  4 Mn 2.43, 1 Co 2.57, 4 In 2.67
Co2 0.0000 0.0000 0.7158  4 Mn 2.43, 1 Co 2.57, 4 In 2.67
In1 0.5000 0.5000 0.0000  8 Co 2.67, 4 In 2.92, 2 Mn 2.97
Mn1 0.5000 0.5000 0.5000  8 Co 2.43

# MgTlNi2

A crystal of MgTlNi2 relaxed with PBEsol (meta-GGA SCAN, Alexandria via LeMat-Bulk).

Summary:
Uncorrected energy = -108.9 eV/cell
SG = F-43m (216)
Energy relative to the elements = 187 meV per atom

Lattice parameters (Å, degrees): 4.3587 4.3587 4.3587 60.00 60.00 60.00
With the nearest neighbours (Å) after each atom.
Fractional coordinates of all 4 atoms:
Ni1 0.0000 0.0000 0.0000  4 Ni 2.67, 4 Tl 2.67
Ni2 0.7500 0.7500 0.7500  4 Ni 2.67, 4 Mg 2.67
Tl1 0.2500 0.2500 0.2500  4 Ni 2.67, 4 Mg 2.67
Mg1 0.5000 0.5000 0.5000  4 Tl 2.67, 4 Ni 2.67